A relaxed structure of Ca2LaCoBi, computed with PBE-GGA.

Offset from the most stable computed form in meV/atom: 0

Unit cell a=5.391 b=5.391 c=5.087 alpha=90.00 beta=90.00 gamma=90.00
Fractional positions:
Ca 0.500 0.000 0.000
Ca 0.000 0.500 0.000
Co 0.000 0.000 0.000
Bi 0.500 0.500 0.500
La 0.000 0.000 0.500



A relaxed structure of HfScFeTc, computed with PBE-GGA.

Unit cell a=4.535 b=4.535 c=4.535 alpha=60.00 beta=60.00 gamma=60.00
Last column: magnetic moment on the atom in μB.
Fractional positions:
Tc 0.000 0.000 0.000  0.27
Sc 0.250 0.250 0.250  -0.09
Hf 0.750 0.750 0.750  -0.16
Fe 0.500 0.500 0.500  1.27



A relaxed structure of Ac4La5Pr4, computed with PBE-GGA.

Unit cell a=5.386 b=10.076 c=10.076 alpha=85.90 beta=74.50 gamma=74.50
Fractional positions:
La 0.308 0.155 0.230
La 0.537 0.770 0.155
La 0.692 0.845 0.770
La 0.000 0.000 0.000
La 0.463 0.230 0.845
Ac 0.151 0.079 0.618
Ac 0.230 0.618 0.921
Ac 0.770 0.382 0.079
Ac 0.849 0.921 0.382
Pr 0.388 0.689 0.536
Pr 0.924 0.464 0.689
Pr 0.076 0.536 0.311
Pr 0.612 0.311 0.464



We obtain total magnetization values of 0.00; 0.31; 0.00 μB/atom for the records listed above, in that order.
We obtain VASP energy values of -4.3074; -9.0019; -4.6081 eV per atom for the records listed above, in that order.